Record 1
A plane-wave DFT calculation with GGA-PBEsol was carried out for crystalline MnBe4Os at its relaxed geometry.

- Spin magnetization: 0.38 μB per atom
- DFT total energy: -6.647 eV/atom

Lattice parameters (Å, degrees): 6.0026 6.0026 6.0026 90.00 90.00 90.00
Closest atoms and distances in Å follow each position.
Space group F-43m (No. 216)
Inequivalent atoms, fractional coordinates:
Mn: 0.0000 0.0000 0.0000 x4  12 Be 2.49, 4 Os 2.60
Be: 0.1250 0.1250 0.6250 x16  6 Be 2.12
Os: 0.2500 0.2500 0.2500 x4  12 Be 2.49, 4 Mn 2.60



Record 2
A plane-wave DFT calculation with GGA-PBEsol was carried out for crystalline LiCdPt2 at its relaxed geometry.

- Spin magnetization: 0.00 μB per atom
- DFT total energy: -4.648 eV/atom

Lattice parameters (Å, degrees): 2.8173 3.8618 5.6014 90.00 90.00 90.00
Closest atoms and distances in Å follow each position.
Space group Pmmm (No. 47)
Inequivalent atoms, fractional coordinates:
Li: 0.0000 0.0000 0.0000 x1  8 Pt 2.73, 2 Cd 2.80, 2 Li 2.82
Cd: 0.0000 0.0000 0.5000 x1  2 Li 2.80, 8 Pt 2.81, 2 Cd 2.82
Pt: 0.5000 0.5000 0.2367 x2  4 Pt 2.65-2.95, 4 Li 2.73, 4 Cd 2.81



Record 3
A plane-wave DFT calculation with GGA-PBEsol was carried out for crystalline ZrSc2In at its relaxed geometry.

- Spin magnetization: 0.00 μB per atom
- DFT total energy: -6.462 eV/atom

Lattice parameters (Å, degrees): 7.0263 7.0263 7.0263 90.00 90.00 90.00
Closest atoms and distances in Å follow each position.
Space group F-43m (No. 216)
Inequivalent atoms, fractional coordinates:
Zr: 0.0000 0.0000 0.0000 x4  4 In 3.04, 4 Sc 3.04
Sc: 0.0000 0.0000 0.5000 x4  4 In 3.04, 4 Sc 3.04
Sc: 0.2500 0.2500 0.7500 x4  4 Zr 3.04, 4 Sc 3.04
In: 0.2500 0.2500 0.2500 x4  4 Zr 3.04, 4 Sc 3.04



Record 4
A plane-wave DFT calculation with GGA-PBEsol was carried out for crystalline LaRe2Hg at its relaxed geometry.

- Spin magnetization: 0.00 μB per atom
- Polymorph energy (0 for the lowest one): 56 kJ/mol of formula units

Lattice parameters (Å, degrees): 2.8675 2.8675 31.3005 90.00 90.00 120.00
Closest atoms and distances in Å follow each position.
Space group R-3m (No. 166, hexagonal axes)
Inequivalent atoms, fractional coordinates:
La: 0.0000 0.0000 0.0000 x3  6 La 2.87
Re: 0.0000 0.0000 0.2431 x6  6 Re 2.87, 3 Hg 2.91
Hg: 0.0000 0.0000 0.5000 x3  6 Hg 2.87, 6 Re 2.91



Record 5
A plane-wave DFT calculation with GGA-PBEsol was carried out for crystalline IrRu5 at its relaxed geometry.

- Spin magnetization: 0.00 μB per atom
- Polymorph energy (0 for the lowest one): 2 kJ/mol of formula units

Lattice parameters (Å, degrees): 4.2591 2.6937 13.9992 90.00 90.00 90.00
Closest atoms and distances in Å follow each position.
Space group Amm2 (No. 38)
Inequivalent atoms, fractional coordinates:
Ir: 0.0000 0.0000 0.0000 x2  10 Ru 2.64-2.72, 2 Ir 2.69
Ru: 0.0000 0.0000 0.3316 x2  10 Ru 2.62-2.69, 2 Ir 2.72
Ru: 0.0000 0.0000 0.6677 x2  10 Ru 2.63-2.69, 2 Ir 2.71
Ru: 0.5000 0.0000 0.2225 x2  12 Ru 2.62-2.69
Ru: 0.5000 0.0000 0.5560 x2  4 Ir 2.64, 8 Ru 2.64-2.72
Ru: 0.5000 0.0000 0.8875 x2  10 Ru 2.64-2.72, 2 Ir 2.65



Record 6
A plane-wave DFT calculation with GGA-PBEsol was carried out for crystalline Al2CrAg at its relaxed geometry.

- Spin magnetization: 0.54 μB per atom
- Polymorph energy (0 for the lowest one): 0 kJ/mol of formula units

Lattice parameters (Å, degrees): 2.9200 2.9200 6.8545 90.00 90.00 90.00
Closest atoms and distances in Å follow each position.
Space group P4/mmm (No. 123)
Inequivalent atoms, fractional coordinates:
Al: 0.0000 0.0000 0.2240 x2  4 Cr 2.57, 4 Ag 2.80
Cr: 0.5000 0.5000 0.0000 x1  8 Al 2.57
Ag: 0.5000 0.5000 0.5000 x1  8 Al 2.80, 4 Ag 2.92



Record 7
A plane-wave DFT calculation with GGA-PBEsol was carried out for crystalline Li2CaYHg at its relaxed geometry.

- Spin magnetization: 0.00 μB per atom
- DFT total energy: -2.652 eV/atom

Lattice parameters (Å, degrees): 5.1278 5.1278 5.6055 90.00 90.00 90.00
Closest atoms and distances in Å follow each position.
Space group P4/mmm (No. 123)
Inequivalent atoms, fractional coordinates:
Li: 0.0000 0.5000 0.0000 x2  2 Hg 2.56
Ca: 0.0000 0.0000 0.5000 x1  4 Y 3.63, 8 Li 3.80
Y: 0.5000 0.5000 0.5000 x1  2 Hg 2.80
Hg: 0.5000 0.5000 0.0000 x1  4 Li 2.56, 2 Y 2.80



Record 8
A plane-wave DFT calculation with GGA-PBEsol was carried out for crystalline NaCu3S at its relaxed geometry.

- Spin magnetization: 0.00 μB per atom
- E_form (uncorrected): 1443 meV per atom

Lattice parameters (Å, degrees): 4.4460 4.4460 4.4460 90.00 90.00 90.00
Closest atoms and distances in Å follow each position.
Space group Pm-3m (No. 221)
Inequivalent atoms, fractional coordinates:
Na: 0.0000 0.0000 0.0000 x1  6 Cu 2.22
Cu: 0.0000 0.0000 0.5000 x3  2 Na 2.22
S: 0.5000 0.5000 0.5000 x1  12 Cu 3.14



The calculated volume results, record by record, are as follows: 9.0; 15.2; 21.7; 18.6; 13.4; 14.6; 29.5; 17.6 Å³/atom.